# La3Tb2Th4

A relaxed La3Tb2Th4 crystal (GGA-PBE, Alexandria via LeMat-Bulk).

Calculated values
Energy of formation from the pure elements ... 7 kJ per mole of atoms
DOS at the Fermi energy ... 30.57 states/eV per cell

Cell lengths 18.8449, 3.6032, 9.8818 Å; angles 90.00, 115.26, 90.00 degrees
With the nearest neighbours (Å) after each atom.
Space group C2/m (No. 12)
Symmetry-distinct sites (fractional):
La (0.0000, 0.0000, 0.0000) (multiplicity 2)  4 Tb 3.59, 2 La 3.60, 6 Th 3.62-3.64
La (0.1474, 0.0000, 0.6668) (multiplicity 4)  7 Th 3.58-3.70, 2 La 3.60, 3 Tb 3.62-3.69
Tb (0.1660, 0.5000, 0.0064) (multiplicity 4)  5 La 3.59-3.69, 4 Tb 3.60-3.69, 3 Th 3.63-3.70
Th (0.0213, 0.5000, 0.3356) (multiplicity 4)  5 Th 3.52-3.66, 6 La 3.60-3.65, 1 Tb 3.70
Th (0.1818, 0.0000, 0.3372) (multiplicity 4)  6 Th 3.52-3.63, 4 La 3.58-3.70, 2 Tb 3.63

# La2Tb3Th4

A relaxed La2Tb3Th4 crystal (GGA-PBE, Alexandria via LeMat-Bulk).

Calculated values
Energy of formation from the pure elements ... 6 kJ per mole of atoms
DOS at the Fermi energy ... 29.81 states/eV per cell

Cell lengths 18.7940, 3.6179, 9.7759 Å; angles 90.00, 115.40, 90.00 degrees
With the nearest neighbours (Å) after each atom.
Space group C2/m (No. 12)
Symmetry-distinct sites (fractional):
La (0.1634, 0.0000, 0.0006) (multiplicity 4)  5 Tb 3.56-3.67, 4 La 3.62-3.73, 3 Th 3.66
Tb (0.0000, 0.5000, 0.0000) (multiplicity 2)  4 La 3.56, 6 Th 3.61-3.63, 2 Tb 3.62
Tb (0.1466, 0.5000, 0.6644) (multiplicity 4)  7 Th 3.52-3.69, 2 Tb 3.62, 3 La 3.64-3.67
Th (0.0250, 0.0000, 0.3372) (multiplicity 4)  5 Th 3.48-3.68, 6 Tb 3.53-3.69, 1 La 3.66
Th (0.1840, 0.5000, 0.3407) (multiplicity 4)  6 Th 3.48-3.62, 4 Tb 3.52-3.68, 2 La 3.66

# LaTb7Th3

A relaxed LaTb7Th3 crystal (GGA-PBE, Alexandria via LeMat-Bulk).

Calculated values
Energy of formation from the pure elements ... 15 kJ per mole of atoms
DOS at the Fermi energy ... 17.83 states/eV per cell

Cell lengths 6.4921, 6.7180, 8.7068 Å; angles 100.99, 97.55, 96.57 degrees
With the nearest neighbours (Å) after each atom.
Space group P-1 (No. 2)
Symmetry-distinct sites (fractional):
La (0.0000, 0.0000, 0.0000) (multiplicity 1)  8 Tb 3.36-3.72
Tb (0.0000, 0.5000, 0.0000) (multiplicity 1)  2 La 3.36, 6 Tb 3.45-3.58, 2 Th 3.47
Tb (0.0682, 0.2132, 0.6423) (multiplicity 2)  6 Tb 3.36-3.61, 3 Th 3.55-3.76, 1 La 3.72
Tb (0.2146, 0.7285, 0.7050) (multiplicity 2)  4 Th 3.36-3.57, 6 Tb 3.40-3.69, 1 La 3.41
Tb (0.4924, 0.2342, 0.9209) (multiplicity 2)  6 Tb 3.39-3.69, 1 La 3.61, 2 Th 3.62-3.71
Th (0.3191, 0.4486, 0.3391) (multiplicity 2)  2 Th 3.32-3.70, 6 Tb 3.42-3.62
Th (0.5000, 0.0000, 0.5000) (multiplicity 1)  8 Tb 3.36-3.76, 2 Th 3.70

# La6TbTh

A relaxed La6TbTh crystal (GGA-PBE, Alexandria via LeMat-Bulk).

Calculated values
Energy of formation from the pure elements ... 3 kJ per mole of atoms
DOS at the Fermi energy ... 12.56 states/eV per cell

Cell lengths 5.1991, 5.1991, 10.4138 Å; angles 90.00, 90.00, 90.00 degrees
With the nearest neighbours (Å) after each atom.
Space group P4/mmm (No. 123)
Symmetry-distinct sites (fractional):
La (0.0000, 0.0000, 0.0000) (multiplicity 1)  8 La 3.64, 4 Th 3.68
La (0.0000, 0.0000, 0.5000) (multiplicity 1)  4 Tb 3.68, 8 La 3.72
La (0.0000, 0.5000, 0.2448) (multiplicity 4)  2 Th 3.64, 8 La 3.64-3.72, 2 Tb 3.72
Tb (0.5000, 0.5000, 0.5000) (multiplicity 1)  12 La 3.68-3.72
Th (0.5000, 0.5000, 0.0000) (multiplicity 1)  12 La 3.64-3.68

energy of formation from the pure elements of number 2 (La2Tb3Th4)? 6 kJ per mole of atoms